[1]
{"formula": "BPbCO2", "functional": "PBE-GGA", "state": "relaxed", "cell": [[4.2277, 0.0000, 0.0000], [0.0000, 3.0697, 0.0000], [0.0000, 0.0000, 4.2277]], "species": ["Pb", "C", "B", "O", "O"], "fractional_positions": [[0.5000, 0.5000, 0.5000], [0.0000, 0.5000, 0.0000], [0.0000, 0.0000, 0.0000], [0.0000, 0.0000, 0.5000], [0.5000, 0.0000, 0.0000]], "formation_energy_uncorrected_ev_per_atom": 0.36, "sg": "P4/mmm, No. 123", "crystal_system": "tetragonal", "volume_a3_per_cell": 54.9}

[2]
{"formula": "RbLi3N", "functional": "PBE-GGA", "state": "relaxed", "cell": [[4.3773, 0.0000, 0.0000], [0.0000, 4.3773, 0.0000], [0.0000, 0.0000, 4.3773]], "species": ["Li", "Li", "Li", "Rb", "N"], "fractional_positions": [[0.0000, 0.5000, 0.0000], [0.0000, 0.0000, 0.5000], [0.5000, 0.0000, 0.0000], [0.5000, 0.5000, 0.5000], [0.0000, 0.0000, 0.0000]], "formation_energy_uncorrected_ev_per_atom": 0.12, "sg": "Pm-3m, No. 221", "crystal_system": "cubic", "relative_energy_mev_per_atom": 0.0, "volume_a3_per_cell": 83.9}

[3]
{"formula": "CsPu2InCl8", "functional": "PBE-GGA", "state": "relaxed", "cell": [[7.4947, 0.0947, -0.0048], [0.1916, 6.9481, -0.0066], [0.0083, 0.0126, 8.6198]], "species": ["Cs", "Pu", "Pu", "In", "Cl", "Cl", "Cl", "Cl", "Cl", "Cl", "Cl", "Cl"], "fractional_positions": [[0.0000, 0.0000, 0.5000], [0.5000, 0.5000, 0.7540], [0.5000, 0.5000, 0.2460], [0.0000, 0.0000, 0.0000], [0.1995, 0.7160, 0.2316], [0.6274, 0.7137, 0.9999], [0.8005, 0.2839, 0.2315], [0.8005, 0.2840, 0.7684], [0.3726, 0.2863, 0.0001], [0.1995, 0.7161, 0.7685], [0.6177, 0.7099, 0.4999], [0.3823, 0.2901, 0.5001]], "formation_energy_uncorrected_ev_per_atom": -1.73, "sg": "P2/m, No. 10", "crystal_system": "monoclinic", "volume_a3_per_cell": 448.7}

[4]
{"formula": "PrSn3Pd", "functional": "PBE-GGA", "state": "relaxed", "cell": [[-1.8916, -2.9060, 5.5101], [5.5021, -1.6120, 2.0334], [0.4927, 5.6620, 3.1553]], "species": ["Pr", "Pr", "Sn", "Sn", "Sn", "Sn", "Sn", "Sn", "Pd", "Pd"], "fractional_positions": [[0.1256, 0.6186, 0.7500], [0.8744, 0.3814, 0.2500], [0.7179, 0.8978, 0.9946], [0.2821, 0.1022, 0.4946], [0.3722, 0.5193, 0.2500], [0.2821, 0.1022, 0.0054], [0.6278, 0.4807, 0.7500], [0.7179, 0.8978, 0.5054], [0.9437, 0.1547, 0.7500], [0.0563, 0.8453, 0.2500]], "sg": "P2_1/m, No. 11", "crystal_system": "monoclinic", "volume_a3_per_cell": 255.0, "delta_e_f_mev_per_atom": -570}

[5]
{"formula": "Cd5In12Hg2", "functional": "PBE-GGA", "state": "relaxed", "cell": [[5.8393, -0.0604, 1.1905], [1.1621, 8.7037, 4.8901], [0.0213, 0.1252, 10.0500]], "species": ["Cd", "Cd", "Cd", "Cd", "Cd", "In", "In", "In", "In", "In", "In", "In", "In", "In", "In", "In", "In", "Hg", "Hg"], "fractional_positions": [[0.4102, 0.1917, 0.1917], [0.8830, 0.3039, 0.3039], [0.5000, 0.0000, 0.0000], [0.1170, 0.6961, 0.6961], [0.5898, 0.8083, 0.8083], [0.0423, 0.9060, 0.9060], [0.2228, 0.5488, 0.0400], [0.2228, 0.0400, 0.5488], [0.6357, 0.6448, 0.1659], [0.6357, 0.1659, 0.6448], [0.3050, 0.4005, 0.4005], [0.6950, 0.5995, 0.5995], [0.3643, 0.3552, 0.8341], [0.3643, 0.8341, 0.3552], [0.7772, 0.4512, 0.9600], [0.7772, 0.9600, 0.4512], [0.9577, 0.0940, 0.0940], [0.0000, 0.2859, 0.7141], [0.0000, 0.7141, 0.2859]], "sg": "C2/m, No. 12", "crystal_system": "monoclinic", "relative_energy_mev_per_atom": 0.0, "volume_a3_per_cell": 507.9, "delta_e_f_mev_per_atom": 35}

[6]
{"formula": "LaCo2Cu2", "functional": "PBE-GGA", "state": "relaxed", "cell": [[-6.8559, -1.9178, -0.3201], [1.6850, -5.2748, -4.4857], [0.3959, -1.7919, 2.2559]], "species": ["Co", "Co", "Co", "Co", "Cu", "Cu", "Cu", "Cu", "La", "La"], "fractional_positions": [[0.3437, 0.8437, 0.0000], [0.8437, 0.6563, 0.0000], [0.6563, 0.1563, 0.0000], [0.1563, 0.3437, 0.0000], [0.1333, 0.6333, 0.5000], [0.6333, 0.8667, 0.5000], [0.8667, 0.3667, 0.5000], [0.3667, 0.1333, 0.5000], [0.0000, 0.0000, 0.0000], [0.5000, 0.5000, 0.0000]], "sg": "P4/mbm, No. 127", "crystal_system": "tetragonal", "relative_energy_mev_per_atom": 153.4, "volume_a3_per_cell": 147.7, "delta_e_f_mev_per_atom": 204}

[7]
{"formula": "Pm2BeAl3Au4", "functional": "PBE-GGA", "state": "relaxed", "cell": [[-3.8085, -2.1662, -0.0254], [-0.0136, -0.0273, 4.3815], [-5.0842, 8.9382, 0.0398]], "species": ["Pm", "Pm", "Be", "Al", "Al", "Al", "Au", "Au", "Au", "Au"], "fractional_positions": [[0.5000, 0.0000, 0.2584], [0.0000, 0.5000, 0.7416], [0.5000, 0.5000, 0.5000], [0.0000, 0.0000, 0.5000], [0.5000, 0.0000, 0.8642], [0.0000, 0.5000, 0.1358], [0.5000, 0.5000, 0.0000], [0.0000, 0.0000, 0.0000], [0.5000, 0.0000, 0.6212], [0.0000, 0.5000, 0.3788]], "sg": "P-4m2, No. 115", "crystal_system": "tetragonal", "volume_a3_per_cell": 197.4, "delta_e_f_mev_per_atom": -647}

[8]
{"formula": "MgZn8Au2", "functional": "PBE-GGA", "state": "relaxed", "cell": [[5.0762, -0.4616, -0.3502], [-0.5797, 6.7795, 1.2505], [-0.5797, 3.0298, 6.1924]], "species": ["Mg", "Zn", "Zn", "Zn", "Zn", "Zn", "Zn", "Zn", "Zn", "Au", "Au"], "fractional_positions": [[0.0000, 0.0000, 0.0000], [0.4302, 0.3733, 0.8139], [0.5698, 0.1861, 0.6267], [0.2246, 0.7763, 0.7763], [0.7754, 0.2237, 0.2237], [0.4302, 0.8139, 0.3733], [0.5698, 0.6267, 0.1861], [0.8897, 0.5809, 0.5809], [0.1103, 0.4191, 0.4191], [0.7293, 0.7724, 0.7724], [0.2707, 0.2276, 0.2276]], "sg": "C2/m, No. 12", "crystal_system": "monoclinic", "volume_a3_per_cell": 191.8, "delta_e_f_mev_per_atom": -76}

[9]
{"formula": "Ce4TcGe2", "functional": "PBE-GGA", "state": "relaxed", "cell": [[4.4911, 0.0000, 0.0000], [0.0000, 5.8685, -1.0142], [0.0000, 0.2656, 5.9495]], "species": ["Ge", "Ge", "Tc", "Ce", "Ce", "Ce", "Ce"], "fractional_positions": [[0.0000, 0.6828, 0.3172], [0.0000, 0.3172, 0.6828], [0.5000, 0.5000, 0.5000], [0.0000, 0.8235, 0.8235], [0.0000, 0.1765, 0.1765], [0.5000, 0.0000, 0.5000], [0.5000, 0.5000, 0.0000]], "sg": "Cmmm, No. 65", "crystal_system": "orthorhombic", "relative_energy_mev_per_atom": 0.0, "volume_a3_per_cell": 158.0, "delta_e_f_mev_per_atom": -433}

[10]
{"formula": "Nd3Sm12Pu", "functional": "PBE-GGA", "state": "relaxed", "cell": [[-4.0909, 0.8271, 2.9820], [-1.3126, -4.9400, -0.4305], [11.1857, -4.4160, 16.5701]], "species": ["Nd", "Nd", "Nd", "Sm", "Sm", "Sm", "Sm", "Sm", "Sm", "Sm", "Sm", "Sm", "Sm", "Sm", "Sm", "Pu"], "fractional_positions": [[0.0000, 0.0000, 0.2477], [0.0000, 0.0000, 0.5000], [0.0000, 0.0000, 0.7523], [0.5000, 0.5000, 0.0000], [0.5000, 0.5000, 0.2477], [0.5000, 0.5000, 0.5000], [0.5000, 0.5000, 0.7523], [0.5000, 0.0000, 0.1203], [0.5000, 0.0000, 0.3735], [0.5000, 0.0000, 0.6265], [0.5000, 0.0000, 0.8797], [0.0000, 0.5000, 0.1203], [0.0000, 0.5000, 0.3735], [0.0000, 0.5000, 0.6265], [0.0000, 0.5000, 0.8797], [0.0000, 0.0000, 0.0000]], "sg": "P4/mmm, No. 123", "crystal_system": "tetragonal", "volume_a3_per_cell": 538.7, "delta_e_f_mev_per_atom": 43}

[11]
{"formula": "Li2La3Zn9", "functional": "PBE-GGA", "state": "relaxed", "cell": [[4.4405, 0.0000, 1.2391], [1.4178, 7.5979, 3.4952], [0.0282, 0.3503, 8.4753]], "species": ["Li", "Li", "La", "La", "La", "Zn", "Zn", "Zn", "Zn", "Zn", "Zn", "Zn", "Zn", "Zn"], "fractional_positions": [[0.5000, 0.3133, 0.6867], [0.5000, 0.6867, 0.3133], [0.0000, 0.0000, 0.0000], [0.7068, 0.2932, 0.2932], [0.2932, 0.7068, 0.7068], [0.0000, 0.5000, 0.5000], [0.6605, 0.9842, 0.6947], [0.3395, 0.0158, 0.3053], [0.6605, 0.6947, 0.9842], [0.3395, 0.3053, 0.0158], [0.8654, 0.8482, 0.4211], [0.1346, 0.1518, 0.5789], [0.8654, 0.4211, 0.8482], [0.1346, 0.5789, 0.1518]], "sg": "Immm, No. 71", "crystal_system": "orthorhombic", "volume_a3_per_cell": 280.9, "delta_e_f_mev_per_atom": -309}

[12]
{"formula": "Li3In2Pd3", "functional": "PBE-GGA", "state": "relaxed", "cell": [[4.5963, 0.0000, 0.0000], [0.0000, 4.7404, -0.2209], [-2.2982, -2.0841, 6.0968]], "species": ["Li", "Li", "Li", "In", "In", "Pd", "Pd", "Pd"], "fractional_positions": [[0.3836, 0.8825, 0.7671], [0.5000, 0.5000, 0.0000], [0.6164, 0.1175, 0.2329], [0.7560, 0.7566, 0.5119], [0.2440, 0.2434, 0.4881], [0.8754, 0.3762, 0.7508], [0.1246, 0.6238, 0.2492], [0.0000, 0.0000, 0.0000]], "sg": "C2/m, No. 12", "crystal_system": "monoclinic", "relative_energy_mev_per_atom": 89.3, "volume_a3_per_cell": 130.7, "delta_e_f_mev_per_atom": -455}

Size of the total moment, respectively: 0.75, 0.00, 10.00, 0.00, 0.00, 1.48, 0.00, 0.00, 0.62, 6.20, 0.00, 0.00 μB per formula unit.
Calculated density, respectively: 7930, 2382, 3772, 7860, 7655, 8632, 9823, 8152, 8446, 7648, 6026, 7237 kg/m3.